(1)
# K3SrCr | Alexandria via LeMat-Bulk | PBE | optimized geometry
data_K3SrCr
_chemical_formula_sum 'K3 Sr1 Cr1'
_space_group_name_H-M_alt 'P m -3 m'
_space_group_IT_number 221
_space_group_name_Hall '-P 4 2 3'
_cell_length_a 6.777
_cell_length_b 6.777
_cell_length_c 6.777
_cell_angle_alpha 90.00
_cell_angle_beta 90.00
_cell_angle_gamma 90.00
loop_
_atom_site_label
_atom_site_fract_x
_atom_site_fract_y
_atom_site_fract_z
K1 0.000 0.000 0.500
Sr1 0.500 0.500 0.500
Cr1 0.000 0.000 0.000
# Energy of formation from the pure elements: 0.674 eV per atom
# Magnetic moment: 5.65 μB per formula unit

***

(2)
# KSrCr | Alexandria via LeMat-Bulk | PBE | optimized geometry
data_KSrCr
_chemical_formula_sum 'K2 Sr2 Cr2'
_space_group_name_H-M_alt 'I 4 m m'
_space_group_IT_number 107
_space_group_name_Hall 'I 4 -2'
_cell_length_a 4.147
_cell_length_b 4.147
_cell_length_c 15.496
_cell_angle_alpha 90.00
_cell_angle_beta 90.00
_cell_angle_gamma 90.00
loop_
_atom_site_label
_atom_site_fract_x
_atom_site_fract_y
_atom_site_fract_z
K1 0.000 0.000 0.000
Sr1 0.000 0.000 0.271
Cr1 0.000 0.000 0.655
# Energy of formation from the pure elements: 0.713 eV per atom
# Magnetic moment: 5.05 μB per formula unit